(1)
10
Lattice="3.7020 0.0000 0.0000 0.0000 3.7020 0.0000 0.0000 0.0000 12.7999" Properties=species:S:1:pos:R:3 comment="NpTiAs2N, relaxed, DFT PBE" space_group="No. 129" pbc="T T T"
Np 0.9255 0.9255 1.2081
Np 2.7765 2.7765 11.5918
Ti 0.9255 0.9255 7.5373
Ti 2.7765 2.7765 5.2625
As 0.9255 0.9255 4.9106
As 0.9255 0.9255 10.1056
As 2.7765 2.7765 2.6943
As 2.7765 2.7765 7.8893
N 0.9255 2.7765 0.0000
N 2.7765 0.9255 0.0000

(2)
10
Lattice="8.6397 0.0000 0.0000 0.0000 8.6397 0.0000 0.0000 0.0000 4.2890" Properties=species:S:1:pos:R:3 comment="La2AlTe2, relaxed, DFT PBE" space_group="No. 127" e_above_lowest_polymorph_mev_per_atom=0 pbc="T T T"
La 1.3710 2.9488 0.0000
La 2.9488 7.2687 0.0000
La 5.6908 1.3710 0.0000
La 7.2687 5.6908 0.0000
Al 0.0000 0.0000 0.0000
Al 4.3198 4.3198 0.0000
Te 1.2700 5.5898 2.1445
Te 3.0498 1.2700 2.1445
Te 5.5898 7.3696 2.1445
Te 7.3696 3.0498 2.1445

(3)
3
Lattice="-1.4831 1.4831 4.8480 1.4831 -1.4831 4.8480 1.4831 1.4831 -4.8480" Properties=species:S:1:pos:R:3 comment="ErTcC, relaxed, DFT PBE" space_group="No. 107" e_above_lowest_polymorph_mev_per_atom=448 delta_e_f_ev_per_atom=0.23 pbc="T T T"
Er 0.0000 0.0000 0.0000
Tc 0.0000 0.0000 2.7091
C 0.0000 0.0000 6.8314

(4)
4
Lattice="0.0000 2.9862 2.9862 2.9862 0.0000 2.9862 2.9862 2.9862 0.0000" Properties=species:S:1:pos:R:3 comment="Ni2PtRh, relaxed, DFT PBE" space_group="No. 216" delta_e_f_ev_per_atom=0.15 pbc="T T T"
Ni 0.0000 0.0000 0.0000
Ni 1.4931 1.4931 1.4931
Pt 2.9862 2.9862 2.9862
Rh 4.4793 4.4793 4.4793

(5)
12
Lattice="6.2751 0.0000 0.0000 -3.1375 5.4344 0.0000 0.0000 0.0000 9.3618" Properties=species:S:1:pos:R:3 comment="BaTe2RhSe8, relaxed, DFT PBE" space_group="No. 147" pbc="T T T"
Ba 0.0000 0.0000 0.0000
Te 0.0000 3.6229 6.7839
Te 3.1375 1.8114 2.5779
Rh 0.0000 0.0000 4.6809
Se -1.6706 4.1209 3.1183
Se 0.4040 1.9271 3.1183
Se 0.0000 3.6229 9.2577
Se 1.8709 0.6137 6.2435
Se 1.2666 4.8207 3.1183
Se 3.1375 1.8114 0.1040
Se 2.7335 3.5073 6.2435
Se 4.8081 1.3134 6.2435

(6)
4
Lattice="0.0000 3.7162 3.7162 3.7162 0.0000 3.7162 3.7162 3.7162 0.0000" Properties=species:S:1:pos:R:3 comment="CeLuZrCd, relaxed, DFT PBE" space_group="No. 216" delta_e_f_ev_per_atom=0.06 pbc="T T T"
Ce 0.0000 0.0000 0.0000
Lu 3.7162 3.7162 3.7162
Zr 5.5742 5.5742 5.5742
Cd 1.8581 1.8581 1.8581

(7)
12
Lattice="4.8323 -6.0639 0.0000 4.8323 6.0639 0.0000 0.0000 0.0000 5.5967" Properties=species:S:1:pos:R:3 comment="TbSc2S3, relaxed, DFT PBE" space_group="No. 63" e_above_lowest_polymorph_mev_per_atom=635 pbc="T T T"
Tb 4.8323 4.9383 4.1975
Tb 4.8323 -4.9383 1.3992
Sc 3.1039 0.0000 0.0000
Sc 3.1039 0.0000 2.7984
Sc 6.5608 0.0000 0.0000
Sc 6.5608 0.0000 2.7984
S 1.4808 1.2644 4.1975
S 1.4808 -1.2644 1.3992
S 4.8323 1.1893 1.3992
S 4.8323 -1.1893 4.1975
S 8.1839 1.2644 4.1975
S 8.1839 -1.2644 1.3992

(8)
10
Lattice="-1.9441 1.9441 10.8438 1.9441 -1.9441 10.8438 1.9441 1.9441 -10.8438" Properties=species:S:1:pos:R:3 comment="DyNi2Ir2, relaxed, DFT PBE" space_group="No. 139" delta_e_f_ev_per_atom=-0.22 pbc="T T T"
Dy 0.0000 0.0000 2.7049
Dy 0.0000 0.0000 18.9826
Ni 1.9441 0.0000 0.0000
Ni 0.0000 0.0000 6.9919
Ni 0.0000 1.9441 0.0000
Ni 0.0000 0.0000 14.6956
Ir 1.9441 0.0000 5.4219
Ir 0.0000 0.0000 9.3168
Ir 0.0000 0.0000 12.3707
Ir 0.0000 1.9441 5.4219

(9)
4
Lattice="2.8219 0.0000 0.0000 0.0000 5.0646 0.0000 0.0000 0.0000 5.4331" Properties=species:S:1:pos:R:3 comment="ReAgHg2, relaxed, DFT PBE" space_group="No. 47" e_above_lowest_polymorph_mev_per_atom=246 delta_e_f_ev_per_atom=0.81 pbc="T T T"
Re 0.0000 0.0000 0.0000
Ag 1.4109 0.0000 2.7166
Hg 0.0000 2.5323 2.7166
Hg 1.4109 2.5323 0.0000

(10)
5
Lattice="5.0485 0.0000 0.0000 0.0000 5.0485 0.0000 0.0000 0.0000 5.3241" Properties=species:S:1:pos:R:3 comment="CsGeTeF2, relaxed, DFT PBE" space_group="No. 123" pbc="T T T"
Cs 0.0000 0.0000 0.0000
Ge 2.5243 2.5243 0.0000
Te 2.5243 2.5243 2.6621
F 0.0000 2.5243 2.6621
F 2.5243 0.0000 2.6621

(11)
4
Lattice="0.0000 3.5522 3.5522 3.5522 0.0000 3.5522 3.5522 3.5522 0.0000" Properties=species:S:1:pos:R:3 comment="PmScSnIr, relaxed, DFT PBE" space_group="No. 216" delta_e_f_ev_per_atom=-0.53 pbc="T T T"
Pm 0.0000 0.0000 0.0000
Sc 3.5522 3.5522 3.5522
Sn 5.3283 5.3283 5.3283
Ir 1.7761 1.7761 1.7761

(12)
4
Lattice="4.1861 0.0000 0.0000 0.0000 4.1861 0.0000 0.0000 0.0000 4.6223" Properties=species:S:1:pos:R:3 comment="ScSbAu2, relaxed, DFT PBE" space_group="No. 123" pbc="T T T"
Sc 0.0000 0.0000 0.0000
Sb 2.0931 2.0931 0.0000
Au 0.0000 2.0931 2.3111
Au 2.0931 0.0000 2.3111

(13)
12
Lattice="10.4410 -4.0643 0.0000 10.4410 4.0643 0.0000 -0.0539 0.0000 4.9352" Properties=species:S:1:pos:R:3 comment="Te4PtBr, relaxed, DFT PBE" space_group="No. 12" e_above_lowest_polymorph_mev_per_atom=0 pbc="T T T"
Te 8.1118 2.0414 2.9338
Te 3.8839 0.0000 3.3005
Te 10.4410 2.2793 0.0000
Te 12.7164 2.0414 2.0014
Te 8.1118 -2.0414 2.9338
Te 10.4410 -2.2793 0.0000
Te 16.9443 0.0000 1.6347
Te 12.7164 -2.0414 2.0014
Pt 1.1127 0.0000 3.3191
Pt 19.7155 0.0000 1.6161
Br 6.1553 0.0000 0.2111
Br 14.6729 0.0000 4.7241

(14)
5
Lattice="4.5912 0.0000 0.0000 0.0000 4.5912 0.0000 0.0000 0.0000 4.5105" Properties=species:S:1:pos:R:3 comment="MgReP2S, relaxed, DFT PBE" space_group="No. 123" e_above_lowest_polymorph_mev_per_atom=1337 pbc="T T T"
Mg 0.0000 0.0000 0.0000
Re 2.2956 2.2956 2.2552
P 0.0000 2.2956 0.0000
P 2.2956 0.0000 0.0000
S 0.0000 0.0000 2.2552

(15)
4
Lattice="3.3806 0.0000 0.0000 0.0000 3.3806 0.0000 0.0000 0.0000 6.9596" Properties=species:S:1:pos:R:3 comment="MnAg2Br, relaxed, DFT PBE" space_group="No. 123" e_above_lowest_polymorph_mev_per_atom=147 pbc="T T T"
Mn 0.0000 0.0000 0.0000
Ag 1.6903 1.6903 1.5235
Ag 1.6903 1.6903 5.4361
Br 0.0000 0.0000 3.4798

(16)
5
Lattice="5.1374 0.0000 0.0000 0.0000 5.1374 0.0000 0.0000 0.0000 5.1374" Properties=species:S:1:pos:R:3 comment="La3MnSi, relaxed, DFT PBE" space_group="No. 221" e_above_lowest_polymorph_mev_per_atom=0 pbc="T T T"
La 0.0000 0.0000 2.5687
La 0.0000 2.5687 0.0000
La 2.5687 0.0000 0.0000
Mn 0.0000 0.0000 0.0000
Si 2.5687 2.5687 2.5687

(17)
9
Lattice="5.7690 -2.4249 0.0000 5.7690 2.4249 0.0000 -3.1953 0.0000 8.7141" Properties=species:S:1:pos:R:3 comment="La3Zn2In4, relaxed, DFT PBE" space_group="No. 12" delta_e_f_ev_per_atom=-0.47 pbc="T T T"
La 0.0000 0.0000 0.0000
La 2.9619 0.0000 2.8591
La 5.3808 0.0000 5.8550
Zn 1.8672 0.0000 5.9467
Zn 6.4756 0.0000 2.7674
In -0.3766 0.0000 3.4813
In 0.2805 0.0000 8.1634
In 8.0623 0.0000 0.5507
In 8.7194 0.0000 5.2328

(18)
8
Lattice="-2.8989 2.8989 3.3230 2.8989 -2.8989 3.3230 2.8989 2.8989 -3.3230" Properties=species:S:1:pos:R:3 comment="TaP2O, relaxed, DFT PBE" space_group="No. 122" pbc="T T T"
Ta 0.0000 0.0000 0.0000
Ta 0.0000 2.8989 1.6615
P 1.4494 1.8942 -0.8307
P 3.9035 1.4494 0.8307
P 1.4494 1.0047 2.4922
P -1.0047 1.4494 4.1537
O 2.8989 0.0000 1.6615
O 0.0000 0.0000 3.3230

(19)
6
Lattice="4.0884 0.0000 0.0000 0.0000 4.3331 0.0000 0.0000 0.0000 7.2142" Properties=species:S:1:pos:R:3 comment="Th2FeGe3, relaxed, DFT PBE" space_group="No. 25" e_above_lowest_polymorph_mev_per_atom=21 delta_e_f_ev_per_atom=-0.57 pbc="T T T"
Th 0.0000 0.0000 0.0000
Th 0.0000 2.1665 3.4437
Fe 2.0442 0.0000 2.1596
Ge 2.0442 0.0000 4.5171
Ge 2.0442 2.1665 1.1984
Ge 2.0442 2.1665 5.8700

(20)
5
Lattice="4.4663 0.0000 0.0000 0.0000 4.4663 0.0000 0.0000 0.0000 4.4663" Properties=species:S:1:pos:R:3 comment="LiNbAg3, relaxed, DFT PBE" space_group="No. 221" e_above_lowest_polymorph_mev_per_atom=0 delta_e_f_ev_per_atom=0.64 pbc="T T T"
Li 0.0000 0.0000 0.0000
Nb 2.2332 2.2332 2.2332
Ag 0.0000 0.0000 2.2332
Ag 0.0000 2.2332 0.0000
Ag 2.2332 0.0000 0.0000

Table of V (Å³/cell), in record order: 175.42; 320.14; 42.66; 53.26; 319.24; 102.64; 328.00; 163.94; 77.65; 135.70; 89.64; 81.00; 418.86; 95.08; 79.53; 135.59; 243.81; 111.70; 127.80; 89.09
Table of calculated density (g cm⁻³), in record order: 8.50; 5.81; 10.79; 12.95; 5.86; 8.39; 3.49; 13.46; 14.87; 4.54; 9.28; 11.49; 6.23; 5.32; 7.32; 6.12; 6.86; 7.70; 9.59; 7.89
Table of final energy (eV/cell), in record order: -85.034; -48.912; -23.460; -24.335; -47.108; -19.681; -74.480; -69.933; -12.665; -17.005; -26.054; -19.083; -41.471; -20.722; -15.677; -29.607; -32.556; -54.277; -40.582; -17.314